Entry 1:
# GGA-PBE MgFe4Rh5, optimized geometry
data_MgFe4Rh5
_space_group_name_H-M_alt 'P 4/m m m'
_space_group_IT_number 123
_space_group_name_Hall '-P 4 2'
_cell_length_a 3.059
_cell_length_b 3.059
_cell_length_c 14.845
_cell_angle_alpha 90.00
_cell_angle_beta 90.00
_cell_angle_gamma 90.00
loop_
_atom_site_label
_atom_site_type_symbol
_atom_site_fract_x
_atom_site_fract_y
_atom_site_fract_z
Mg1 Mg 0.000 0.000 0.000
Fe1 Fe 0.000 0.000 0.206
Fe2 Fe 0.000 0.000 0.400
Rh1 Rh 0.500 0.500 0.111
Rh2 Rh 0.500 0.500 0.305
Rh3 Rh 0.500 0.500 0.500
# **Total moment**: 0.0 μB per formula unit
# **DFT formation energy**: -0.1475 eV per atom
# **Electronic total energy**: -7.37 eV/atom

---

Entry 2:
# GGA-PBE Ce3NdHo2As6, optimized geometry
data_Ce3NdHo2As6
_space_group_name_H-M_alt 'C 1 2/m 1'
_space_group_IT_number 12
_cell_length_a 7.257
_cell_length_b 12.570
_cell_length_c 7.246
_cell_angle_alpha 90.00
_cell_angle_beta 109.53
_cell_angle_gamma 90.00
loop_
_space_group_symop_operation_xyz
'x,y,z'
'-x,-y,-z'
'-x,y,-z'
'x,-y,z'
'x+1/2,y+1/2,z'
'-x+1/2,-y+1/2,-z'
'-x+1/2,y+1/2,-z'
'x+1/2,-y+1/2,z'
loop_
_atom_site_label
_atom_site_type_symbol
_atom_site_fract_x
_atom_site_fract_y
_atom_site_fract_z
Ce1 Ce 0.000 0.000 0.000
Ce2 Ce 0.000 0.335 0.000
Nd1 Nd 0.000 0.500 0.500
Ho1 Ho 0.000 0.167 0.500
As1 As 0.243 0.000 0.747
As2 As 0.247 0.170 0.251
# **Total moment**: 1.9 μB per formula unit
# **DFT formation energy**: -1.4719 eV per atom
# **Electronic total energy**: -6.44 eV/atom

---

Entry 3:
# GGA-PBE CaB2F8, optimized geometry
data_CaB2F8
_space_group_name_H-M_alt 'C 1 2/c 1'
_space_group_IT_number 15
_cell_length_a 11.228
_cell_length_b 6.806
_cell_length_c 10.011
_cell_angle_alpha 90.00
_cell_angle_beta 122.86
_cell_angle_gamma 90.00
loop_
_space_group_symop_operation_xyz
'x,y,z'
'-x,-y,-z'
'-x,y,-z+1/2'
'x,-y,z+1/2'
'x+1/2,y+1/2,z'
'-x+1/2,-y+1/2,-z'
'-x+1/2,y+1/2,-z+1/2'
'x+1/2,-y+1/2,z+1/2'
loop_
_atom_site_label
_atom_site_type_symbol
_atom_site_fract_x
_atom_site_fract_y
_atom_site_fract_z
Ca1 Ca 0.000 0.185 0.250
B1 B 0.196 0.030 0.584
F1 F 0.133 0.220 0.541
F2 F 0.147 0.075 0.167
F3 F 0.153 0.067 0.939
F4 F 0.155 0.453 0.317
# **Formation energy (no corrections)**: -3.19 eV per atom
# **Total moment**: 0.0 μB per formula unit
# **Electronic total energy**: -5.94 eV/atom

---

Entry 4:
# GGA-PBE Y2AlPt, optimized geometry
data_Y2AlPt
_space_group_name_H-M_alt 'R 3 m'
_space_group_IT_number 160
_space_group_name_Hall 'R 3 -2"'
_cell_length_a 4.4786
_cell_length_b 4.4786
_cell_length_c 16.7655
_cell_angle_alpha 90.00
_cell_angle_beta 90.00
_cell_angle_gamma 120.00
loop_
_atom_site_label
_atom_site_type_symbol
_atom_site_fract_x
_atom_site_fract_y
_atom_site_fract_z
Y1 Y 0.0000 0.0000 0.0000
Y2 Y 0.0000 0.0000 0.1926
Al1 Al 0.0000 0.0000 0.4209
Pt1 Pt 0.0000 0.0000 0.7727
# **Total moment**: 0.0 μB per formula unit
# **DFT formation energy**: -0.7437 eV per atom
# **Electronic total energy**: -6.42 eV/atom

---

Entry 5:
# GGA-PBE Mg2Cu2Sn, optimized geometry
data_Mg2Cu2Sn
_space_group_name_H-M_alt 'I 4/m m m'
_space_group_IT_number 139
_space_group_name_Hall '-I 4 2'
_cell_length_a 4.061
_cell_length_b 4.061
_cell_length_c 11.636
_cell_angle_alpha 90.00
_cell_angle_beta 90.00
_cell_angle_gamma 90.00
loop_
_atom_site_label
_atom_site_type_symbol
_atom_site_fract_x
_atom_site_fract_y
_atom_site_fract_z
Mg1 Mg 0.000 0.500 0.250
Cu1 Cu 0.000 0.000 0.101
Sn1 Sn 0.000 0.000 0.500
# **Total moment**: 0.0 μB per formula unit
# **DFT formation energy**: 0.1051 eV per atom
# **Electronic total energy**: -2.97 eV/atom

---

Entry 6:
# GGA-PBE SiTePb, optimized geometry
data_SiTePb
_space_group_name_H-M_alt 'I 4 m m'
_space_group_IT_number 107
_space_group_name_Hall 'I 4 -2'
_cell_length_a 3.747
_cell_length_b 3.747
_cell_length_c 11.356
_cell_angle_alpha 90.00
_cell_angle_beta 90.00
_cell_angle_gamma 90.00
loop_
_atom_site_label
_atom_site_type_symbol
_atom_site_fract_x
_atom_site_fract_y
_atom_site_fract_z
Si1 Si 0.000 0.000 0.000
Te1 Te 0.000 0.000 0.608
Pb1 Pb 0.000 0.000 0.330
# **Formation energy (no corrections)**: 0.27 eV per atom
# **Total moment**: 0.0 μB per formula unit
# **Electronic total energy**: -3.82 eV/atom

---

Entry 7:
# GGA-PBE NaCeCl4, optimized geometry
data_NaCeCl4
_space_group_name_H-M_alt 'C 1 2/c 1'
_space_group_IT_number 15
_cell_length_a 9.082
_cell_length_b 12.880
_cell_length_c 7.058
_cell_angle_alpha 90.00
_cell_angle_beta 126.80
_cell_angle_gamma 90.00
loop_
_space_group_symop_operation_xyz
'x,y,z'
'-x,-y,-z'
'-x,y,-z+1/2'
'x,-y,z+1/2'
'x+1/2,y+1/2,z'
'-x+1/2,-y+1/2,-z'
'-x+1/2,y+1/2,-z+1/2'
'x+1/2,-y+1/2,z+1/2'
loop_
_atom_site_label
_atom_site_type_symbol
_atom_site_fract_x
_atom_site_fract_y
_atom_site_fract_z
Na1 Na 0.000 0.144 0.250
Ce1 Ce 0.000 0.487 0.750
Cl1 Cl 0.116 0.333 0.567
Cl2 Cl 0.208 0.060 0.765
# **Formation energy (no corrections)**: -1.99 eV per atom
# **Total moment**: 1.0 μB per formula unit
# **Electronic total energy**: -4.43 eV/atom

---

Entry 8:
# GGA-PBE TiInSbRh2, optimized geometry
data_TiInSbRh2
_space_group_name_H-M_alt 'P 4/m m m'
_space_group_IT_number 123
_space_group_name_Hall '-P 4 2'
_cell_length_a 4.850
_cell_length_b 4.850
_cell_length_c 4.989
_cell_angle_alpha 90.00
_cell_angle_beta 90.00
_cell_angle_gamma 90.00
loop_
_atom_site_label
_atom_site_type_symbol
_atom_site_fract_x
_atom_site_fract_y
_atom_site_fract_z
Ti1 Ti 0.000 0.000 0.000
In1 In 0.500 0.500 0.000
Sb1 Sb 0.000 0.000 0.500
Rh1 Rh 0.000 0.500 0.500
# **Formation energy (no corrections)**: 0.64 eV per atom
# **Total moment**: 0.0 μB per formula unit
# **Electronic total energy**: -5.25 eV/atom